The following is a PBE-GGA calculation of an optimized crystal structure of Li2Pm4Os, from Alexandria via LeMat-Bulk.

For the magnetic moment, the calculation gives 0.0 μB per formula unit. The calculation puts the uncorrected energy at -4.726 eV/atom. For the calculated formation energy, the calculation gives 94 kJ/mol of formula units.

a = 8.842 Å, b = 8.842 Å, c = 8.842 Å
α = 33.51°, β = 33.51°, γ = 33.51°
Positions (direct):
Li 0.244 0.244 0.244
Li 0.756 0.756 0.756
Pm 0.126 0.126 0.126
Pm 0.380 0.380 0.380
Pm 0.620 0.620 0.620
Pm 0.874 0.874 0.874
Os 0.500 0.500 0.500